Entry P
The following is a DFT calculation (PBE) of a relaxed structure of Li2GeSb.

- SG = No. 14

a = 6.880 Å, b = 9.679 Å, c = 6.387 Å
α = 128.00°, β = 90.00°, γ = 90.00°
Fractional coordinates of all 16 atoms:
Ge 0.123 0.047 0.674
Ge 0.377 0.547 0.674
Ge 0.623 0.453 0.326
Ge 0.877 0.953 0.326
Sb 0.414 0.140 0.463
Sb 0.914 0.360 0.537
Sb 0.086 0.640 0.463
Sb 0.586 0.860 0.537
Li 0.772 0.728 0.803
Li 0.205 0.409 0.904
Li 0.728 0.228 0.803
Li 0.705 0.091 0.096
Li 0.228 0.272 0.197
Li 0.272 0.772 0.197
Li 0.295 0.909 0.904
Li 0.795 0.591 0.096

Entry Q
The following is a DFT calculation (PBE) of a relaxed structure of Li2GeSb.

- SG = No. 122

a = 4.195 Å, b = 4.195 Å, c = 9.782 Å
α = 77.62°, β = 77.62°, γ = 90.00°
Fractional coordinates of all 8 atoms:
Li 0.375 0.393 0.750
Li 0.875 0.857 0.750
Li 0.143 0.625 0.250
Li 0.607 0.125 0.250
Sb 0.000 0.000 0.000
Sb 0.750 0.250 0.500
Ge 0.500 0.500 0.000
Ge 0.250 0.750 0.500

Entry R
The following is a DFT calculation (PBE) of a relaxed structure of Li2GeSb.

- SG = No. 225

a = 4.735 Å, b = 4.735 Å, c = 4.735 Å
α = 60.00°, β = 60.00°, γ = 60.00°
Fractional coordinates of all 4 atoms:
Sb 0.500 0.500 0.500
Ge 0.000 0.000 0.000
Li 0.250 0.250 0.250
Li 0.750 0.750 0.750

Going by the computed energies, the most stable comes first: entry R, entry P, entry Q.

Entry P
The following is a DFT calculation (PBE) of a relaxed structure of Li2GeSb.

- SG = No. 160

a = 4.541 Å, b = 4.541 Å, c = 5.477 Å
α = 65.51°, β = 65.51°, γ = 60.00°
Fractional coordinates of all 4 atoms:
Sb 0.678 0.678 0.965
Ge 0.485 0.485 0.544
Li 0.269 0.269 0.194
Li 0.068 0.068 0.797

Entry Q
The following is a DFT calculation (PBE) of a relaxed structure of Li2GeSb.

- SG = No. 123

a = 4.147 Å, b = 4.269 Å, c = 4.269 Å
α = 90.00°, β = 90.00°, γ = 90.00°
Fractional coordinates of all 4 atoms:
Sb 0.500 0.000 0.000
Li 0.000 0.000 0.500
Li 0.000 0.500 0.000
Ge 0.500 0.500 0.500

Going by the computed energies, the most stable comes first: entry Q, entry P.

Entry P
The following is a DFT calculation (PBE) of a relaxed structure of LiGe2Sb2.

- SG = No. 127

a = 7.959 Å, b = 7.959 Å, c = 3.819 Å
α = 90.00°, β = 90.00°, γ = 90.00°
Fractional coordinates of all 10 atoms:
Ge 0.865 0.365 0.500
Ge 0.135 0.635 0.500
Ge 0.635 0.865 0.500
Ge 0.365 0.135 0.500
Sb 0.157 0.343 0.000
Sb 0.343 0.843 0.000
Sb 0.657 0.157 0.000
Sb 0.843 0.657 0.000
Li 0.500 0.500 0.000
Li 0.000 0.000 0.000

Entry Q
The following is a DFT calculation (PBE) of a relaxed structure of LiGe2Sb2.

- SG = No. 139

a = 5.490 Å, b = 5.490 Å, c = 5.622 Å
α = 60.77°, β = 60.77°, γ = 90.00°
Fractional coordinates of all 5 atoms:
Li 0.000 0.000 0.000
Ge 0.344 0.344 0.312
Ge 0.656 0.656 0.688
Sb 0.750 0.250 0.500
Sb 0.250 0.750 0.500

Going by the computed energies, the most stable comes first: entry Q, entry P.

Entry P
The following is a DFT calculation (PBE) of a relaxed structure of LiGeSb3.

- SG = No. 221

a = 5.422 Å, b = 5.422 Å, c = 5.422 Å
α = 90.00°, β = 90.00°, γ = 90.00°
Fractional coordinates of all 5 atoms:
Sb 0.500 0.000 0.000
Sb 0.000 0.500 0.000
Sb 0.000 0.000 0.500
Ge 0.000 0.000 0.000
Li 0.500 0.500 0.500

Entry Q
The following is a DFT calculation (PBE) of a relaxed structure of LiGeSb3.

- SG = No. 221

a = 5.006 Å, b = 5.006 Å, c = 5.006 Å
α = 90.00°, β = 90.00°, γ = 90.00°
Fractional coordinates of all 5 atoms:
Ge 0.500 0.500 0.500
Sb 0.500 0.000 0.000
Sb 0.000 0.000 0.500
Sb 0.000 0.500 0.000
Li 0.000 0.000 0.000

Going by the computed energies, the most stable comes first: entry Q, entry P.

Entry P
The following is a DFT calculation (PBE) of a relaxed structure of LiScGe2.

- SG = No. 123

a = 3.969 Å, b = 4.159 Å, c = 4.159 Å
α = 90.00°, β = 90.00°, γ = 90.00°
Fractional coordinates of all 4 atoms:
Li 0.500 0.000 0.000
Sc 0.500 0.500 0.500
Ge 0.000 0.000 0.500
Ge 0.000 0.500 0.000

Entry Q
The following is a DFT calculation (PBE) of a relaxed structure of LiScGe2.

- SG = No. 166

a = 4.187 Å, b = 4.187 Å, c = 5.239 Å
α = 66.45°, β = 66.45°, γ = 60.00°
Fractional coordinates of all 4 atoms:
Li 0.500 0.500 0.500
Sc 0.000 0.000 0.000
Ge 0.229 0.229 0.314
Ge 0.771 0.771 0.686

Going by the computed energies, the most stable comes first: entry P, entry Q.

Entry P
The following is a DFT calculation (PBE) of a relaxed structure of LiScGe2.

- SG = No. 122

a = 4.383 Å, b = 4.383 Å, c = 9.026 Å
α = 75.95°, β = 75.95°, γ = 90.00°
Fractional coordinates of all 8 atoms:
Sc 0.000 0.000 0.000
Sc 0.750 0.250 0.500
Ge 0.554 0.125 0.250
Ge 0.875 0.804 0.750
Ge 0.196 0.625 0.250
Ge 0.375 0.446 0.750
Li 0.250 0.750 0.500
Li 0.500 0.500 0.000

Entry Q
The following is a DFT calculation (PBE) of a relaxed structure of LiScGe2.

- SG = No. 225

a = 4.673 Å, b = 4.673 Å, c = 4.673 Å
α = 60.00°, β = 60.00°, γ = 60.00°
Fractional coordinates of all 4 atoms:
Li 0.000 0.000 0.000
Sc 0.500 0.500 0.500
Ge 0.750 0.750 0.750
Ge 0.250 0.250 0.250

Going by the computed energies, the most stable comes first: entry Q, entry P.